Entry 1:
VASP calculation (PBE-GGA) on a relaxed Sr4Cd2Pb crystal.

Cell and atoms, written as POSCAR:
```
Sr4Cd2Pb
1.0
2.8713 1.6577 9.4400
-2.8713 1.6577 9.4400
0.0000 -3.3155 9.4400
Sr Cd Pb
4 2 1
direct
0.1241 0.1241 0.1241
0.3753 0.3753 0.3753
0.6247 0.6247 0.6247
0.8759 0.8759 0.8759
0.2501 0.2501 0.2501
0.7499 0.7499 0.7499
0.5000 0.5000 0.5000
```

Computed properties:
* total magnetization: 0.00 μB per atom
* ΔE_f: -31.1 kJ per mole of atoms
* DOS at the Fermi energy: 0.779 states/eV per atom



Entry 2:
VASP calculation (PBE-GGA) on a relaxed U2Fe3Ge crystal.

Cell and atoms, written as POSCAR:
```
U2Fe3Ge
1.0
5.1253 0.0000 0.0000
-2.5626 4.4386 0.0000
0.0000 0.0000 7.8691
U Fe Ge
4 6 2
direct
0.3333 0.6667 0.0792
0.3333 0.6667 0.4208
0.6667 0.3333 0.5792
0.6667 0.3333 0.9208
0.1708 0.3415 0.7500
0.1708 0.8292 0.7500
0.3415 0.1708 0.2500
0.6585 0.8292 0.7500
0.8292 0.1708 0.2500
0.8292 0.6585 0.2500
0.0000 0.0000 0.0000
0.0000 0.0000 0.5000
```

Computed properties:
* total magnetization: 0.20 μB per atom
* ΔE_f: -25.7 kJ per mole of atoms
* DOS at the Fermi energy: 1.357 states/eV per atom



Entry 3:
VASP calculation (PBE-GGA) on a relaxed InRuO2 crystal.

Cell and atoms, written as POSCAR:
```
InRuO2
1.0
1.5228 0.8792 6.8290
-1.5228 0.8792 6.8290
0.0000 -1.7584 6.8290
In Ru O
1 1 2
direct
0.0000 0.0000 0.0000
0.5000 0.5000 0.5000
0.1132 0.1132 0.1132
0.8868 0.8868 0.8868
```

Computed properties:
* total magnetization: 0.25 μB per atom
* DOS at the Fermi energy: 0.496 states/eV per atom
* DFT total energy: -24.655 eV per cell



Entry 4:
VASP calculation (PBE-GGA) on a relaxed BiP2NCl crystal.

Cell and atoms, written as POSCAR:
```
BiP2NCl
1.0
5.4062 0.0000 0.0000
0.0000 5.4062 0.0000
0.0000 0.0000 5.2299
Bi P N Cl
1 2 1 1
direct
0.0000 0.0000 0.0000
0.0000 0.5000 0.0000
0.5000 0.0000 0.0000
0.5000 0.5000 0.5000
0.0000 0.0000 0.5000
```

Computed properties:
* total magnetization: 0.38 μB per atom
* DOS at the Fermi energy: 1.982 states/eV per atom
* DFT total energy: -14.119 eV per cell



Entry 5:
VASP calculation (PBE-GGA) on a relaxed Pr2GaNi4Sb3 crystal.

Cell and atoms, written as POSCAR:
```
Pr2GaNi4Sb3
1.0
4.3664 0.0000 0.0000
0.0000 4.3664 0.0000
0.0000 0.0000 10.1501
Pr Ga Ni Sb
2 1 4 3
direct
0.0000 0.5000 0.2484
0.5000 0.0000 0.7516
0.0000 0.0000 0.5000
0.0000 0.0000 0.0000
0.0000 0.5000 0.6205
0.5000 0.0000 0.3795
0.5000 0.5000 0.0000
0.0000 0.5000 0.8687
0.5000 0.0000 0.1313
0.5000 0.5000 0.5000
```

Computed properties:
* total magnetization: 0.00 μB per atom
* DOS at the Fermi energy: 0.512 states/eV per atom
* DFT total energy: -54.845 eV per cell



Entry 6:
VASP calculation (PBE-GGA) on a relaxed Hf7Zn2Sn2 crystal.

Cell and atoms, written as POSCAR:
```
Hf7Zn2Sn2
1.0
4.0299 -4.9645 0.0000
4.0299 4.9645 0.0000
0.0000 0.0000 6.3452
Hf Zn Sn
7 2 2
direct
0.0000 0.0000 0.0000
0.0000 0.5000 0.2614
0.0000 0.5000 0.7386
0.5000 0.0000 0.2614
0.5000 0.0000 0.7386
0.5000 0.5000 0.2513
0.5000 0.5000 0.7487
0.2766 0.7234 0.0000
0.7234 0.2766 0.0000
0.1790 0.1790 0.5000
0.8210 0.8210 0.5000
```

Computed properties:
* total magnetization: 0.00 μB per atom
* ΔE_f: 25.2 kJ per mole of atoms
* DOS at the Fermi energy: 1.209 states/eV per atom



Entry 7:
VASP calculation (PBE-GGA) on a relaxed Tm3Cd crystal.

Cell and atoms, written as POSCAR:
```
Tm3Cd
1.0
0.0000 3.7970 3.7970
3.7970 0.0000 3.7970
3.7970 3.7970 0.0000
Tm Cd
3 1
direct
0.0000 0.0000 0.0000
0.2500 0.2500 0.2500
0.7500 0.7500 0.7500
0.5000 0.5000 0.5000
```

Computed properties:
* total magnetization: 0.00 μB per atom
* ΔE_f: -0.8 kJ per mole of atoms
* DOS at the Fermi energy: 1.304 states/eV per atom



Entry 8:
VASP calculation (PBE-GGA) on a relaxed Li2H2Pb crystal.

Cell and atoms, written as POSCAR:
```
Li2H2Pb
1.0
6.8364 0.0000 0.0000
0.0000 6.8364 0.0000
0.0000 0.0000 2.9848
Li H Pb
4 4 2
direct
0.1239 0.3761 0.0000
0.3761 0.8761 0.0000
0.6239 0.1239 0.0000
0.8761 0.6239 0.0000
0.1133 0.6133 0.5000
0.3867 0.1133 0.5000
0.6133 0.8867 0.5000
0.8867 0.3867 0.5000
0.0000 0.0000 0.5000
0.5000 0.5000 0.5000
```

Computed properties:
* total magnetization: 0.00 μB per atom
* DOS at the Fermi energy: 0.144 states/eV per atom
* DFT total energy: -27.442 eV per cell



Entry 9:
VASP calculation (PBE-GGA) on a relaxed TcSe2 crystal.

Cell and atoms, written as POSCAR:
```
TcSe2
1.0
5.3872 0.0000 0.0000
0.0000 6.1942 0.0000
0.0000 0.0000 3.4064
Tc Se
2 4
direct
0.0000 0.0000 0.0000
0.5000 0.5000 0.5000
0.1931 0.3636 0.0000
0.3069 0.8636 0.5000
0.6931 0.1364 0.5000
0.8069 0.6364 0.0000
```

Computed properties:
* total magnetization: 0.00 μB per atom
* DOS at the Fermi energy: 0.834 states/eV per atom
* DFT total energy: -36.497 eV per cell



Entry 10:
VASP calculation (PBE-GGA) on a relaxed Tl5Bi3Pb crystal.

Cell and atoms, written as POSCAR:
```
Tl5Bi3Pb
1.0
5.0161 -4.7056 0.0000
5.0161 4.7056 0.0000
-1.1831 0.0000 13.8433
Tl Bi Pb
10 6 2
direct
0.0173 0.0173 0.2911
0.0512 0.5085 0.3439
0.1749 0.8251 0.0000
0.2262 0.2262 0.8726
0.4915 0.9488 0.6561
0.5085 0.0512 0.3439
0.7738 0.7738 0.1274
0.8251 0.1749 0.0000
0.9488 0.4915 0.6561
0.9827 0.9827 0.7089
0.1700 0.1700 0.5070
0.2507 0.2507 0.1363
0.5000 0.5000 0.0000
0.5000 0.5000 0.5000
0.7492 0.7492 0.8637
0.8300 0.8300 0.4930
0.4725 0.4725 0.7282
0.5275 0.5275 0.2718
```

Computed properties:
* total magnetization: 0.00 μB per atom
* ΔE_f: 11.3 kJ per mole of atoms
* DOS at the Fermi energy: 0.479 states/eV per atom



Entry 11:
VASP calculation (PBE-GGA) on a relaxed CaY2Ta crystal.

Cell and atoms, written as POSCAR:
```
CaY2Ta
1.0
3.4602 -4.7987 0.0000
3.4602 4.7987 0.0000
0.0000 0.0000 3.3211
Ca Y Ta
1 2 1
direct
0.0000 0.0000 0.0000
0.0000 0.5000 0.5000
0.5000 0.0000 0.5000
0.5000 0.5000 0.0000
```

Computed properties:
* total magnetization: 0.00 μB per atom
* ΔE_f: 48.8 kJ per mole of atoms
* DOS at the Fermi energy: 1.604 states/eV per atom



Entry 12:
VASP calculation (PBE-GGA) on a relaxed Be3Te crystal.

Cell and atoms, written as POSCAR:
```
Be3Te
1.0
1.9514 -3.0589 0.0000
1.9514 3.0589 0.0000
0.0000 0.0000 5.4213
Be Te
3 1
direct
0.0000 0.0000 0.0000
0.5000 0.5000 0.1831
0.5000 0.5000 0.8169
0.0000 0.0000 0.5000
```

Computed properties:
* total magnetization: 0.00 μB per atom
* DOS at the Fermi energy: 0.277 states/eV per atom
* DFT total energy: -11.619 eV per cell



Entry 13:
VASP calculation (PBE-GGA) on a relaxed HfCrS crystal.

Cell and atoms, written as POSCAR:
```
HfCrS
1.0
4.4270 -1.6333 0.0000
4.4270 1.6333 0.0000
-3.9991 0.0000 7.1022
Hf Cr S
2 2 2
direct
0.0481 0.0481 0.2655
0.9519 0.9519 0.7345
0.3145 0.3145 0.9606
0.6855 0.6855 0.0394
0.1972 0.1972 0.6408
0.8028 0.8028 0.3592
```

Computed properties:
* total magnetization: 0.00 μB per atom
* DOS at the Fermi energy: 0.708 states/eV per atom
* DFT total energy: -50.484 eV per cell



Entry 14:
VASP calculation (PBE-GGA) on a relaxed Hf4Zr crystal.

Cell and atoms, written as POSCAR:
```
Hf4Zr
1.0
2.7495 -1.5856 0.0000
2.7495 1.5856 0.0000
-1.8500 0.0000 12.9335
Hf Zr
4 1
direct
0.1007 0.1007 0.2975
0.2992 0.2992 0.8999
0.7008 0.7008 0.1001
0.8993 0.8993 0.7025
0.5000 0.5000 0.5000
```

Computed properties:
* total magnetization: 0.00 μB per atom
* ΔE_f: 6.3 kJ per mole of atoms
* DOS at the Fermi energy: 1.601 states/eV per atom



Entry 15:
VASP calculation (PBE-GGA) on a relaxed LiReAu crystal.

Cell and atoms, written as POSCAR:
```
LiReAu
1.0
2.7452 0.0000 0.0000
-1.3726 2.3774 0.0000
0.0000 0.0000 7.1820
Li Re Au
1 1 1
direct
0.0000 0.0000 0.0000
0.6667 0.3333 0.3286
0.3333 0.6667 0.6824
```

Computed properties:
* total magnetization: 0.00 μB per atom
* ΔE_f: 23.3 kJ per mole of atoms
* DOS at the Fermi energy: 0.718 states/eV per atom



Entry 16:
VASP calculation (PBE-GGA) on a relaxed Ag2HAu crystal.

Cell and atoms, written as POSCAR:
```
Ag2HAu
1.0
-3.1087 3.1087 3.1038
3.1087 -3.1087 3.1038
3.1087 3.1087 -3.1038
Ag H Au
4 2 2
direct
0.0125 0.6250 0.8875
0.3750 0.2625 0.3875
0.7375 0.1250 0.1125
0.8750 0.9875 0.6125
0.0000 0.0000 0.0000
0.7500 0.2500 0.5000
0.2500 0.7500 0.5000
0.5000 0.5000 0.0000
```

Computed properties:
* total magnetization: 0.00 μB per atom
* DOS at the Fermi energy: 0.129 states/eV per atom
* DFT total energy: -23.144 eV per cell



Entry 17:
VASP calculation (PBE-GGA) on a relaxed Ca2Zn5Cu2Rh crystal.

Cell and atoms, written as POSCAR:
```
Ca2Zn5Cu2Rh
1.0
9.3039 0.0000 0.0000
0.0000 9.3039 0.0000
0.0000 0.0000 3.9886
Ca Zn Cu Rh
4 10 4 2
direct
0.1866 0.3134 0.0000
0.3134 0.8134 0.0000
0.6866 0.1866 0.0000
0.8134 0.6866 0.0000
0.0000 0.5000 0.5000
0.0497 0.8013 0.5000
0.1987 0.0497 0.5000
0.3013 0.5497 0.5000
0.4503 0.3013 0.5000
0.5000 0.0000 0.5000
0.5497 0.6987 0.5000
0.6987 0.4503 0.5000
0.8013 0.9503 0.5000
0.9503 0.1987 0.5000
0.1081 0.6081 0.0000
0.3919 0.1081 0.0000
0.6081 0.8919 0.0000
0.8919 0.3919 0.0000
0.0000 0.0000 0.0000
0.5000 0.5000 0.0000
```

Computed properties:
* total magnetization: 0.00 μB per atom
* ΔE_f: -19.1 kJ per mole of atoms
* DOS at the Fermi energy: 0.360 states/eV per atom



Entry 18:
VASP calculation (PBE-GGA) on a relaxed TaMn2VMo crystal.

Cell and atoms, written as POSCAR:
```
TaMn2VMo
1.0
4.6260 0.0000 0.0000
0.0000 4.6260 0.0000
0.0000 0.0000 4.7507
Ta Mn V Mo
1 2 1 1
direct
0.0000 0.0000 0.0000
0.0000 0.5000 0.0000
0.5000 0.0000 0.0000
0.5000 0.5000 0.5000
0.0000 0.0000 0.5000
```

Computed properties:
* total magnetization: 0.76 μB per atom
* ΔE_f: 156.0 kJ per mole of atoms
* DOS at the Fermi energy: 1.213 states/eV per atom